Density functional theory data (GGA-PBE) for a geometry-optimized SbPtI2F structure.

Unit cell a=5.5183 b=5.5183 c=5.1467 alpha=90.00 beta=90.00 gamma=90.00
Fractional positions:
F: 0.5000 0.5000 0.5000
I: 0.0000 0.5000 0.0000
Sb: 0.0000 0.0000 0.5000
Pt: 0.0000 0.0000 0.0000
I: 0.5000 0.0000 0.0000

Properties
Its uncorrected formation energy is 35.9 kJ/mol of formula units. For the calculated volume, the calculation gives 157 Å³ per cell. The value obtained for the final energy is -2.95 eV per atom. The energy above the most stable polymorph in this dataset is 0.0 kJ/mol of atoms.